## P
Here is an optimized crystal structure of YAlHg from the Alexandria database. Energies are from PBE-GGA.

The structure in POSCAR format:
```
YAlHg
1.0
8.770 0.000 0.000
0.000 6.196 0.000
0.000 0.000 5.079
Y Hg Al
4 4 4
direct
0.334 0.250 0.000
0.166 0.750 0.500
0.666 0.750 0.000
0.834 0.250 0.500
0.668 0.250 0.000
0.832 0.750 0.500
0.332 0.750 0.000
0.168 0.250 0.500
0.000 0.000 0.000
0.500 0.500 0.500
0.500 0.000 0.500
0.000 0.500 0.000
```

Calculated values
Space group = Cmcm, No. 63
Fermi-level density of states = 1.108 states/eV/f.u.

## Q
Here is an optimized crystal structure of YAlHg from the Alexandria database. Energies are from PBE-GGA.

The structure in POSCAR format:
```
YAlHg
1.0
4.716 0.000 0.000
0.000 7.256 0.000
-2.358 0.000 4.084
Y Hg Al
2 2 2
direct
0.870 0.894 0.233
0.870 0.395 0.233
0.203 0.700 0.899
0.536 0.589 0.566
0.536 0.173 0.566
0.203 0.116 0.900
```

Calculated values
Space group = P-3m1, No. 164
Fermi-level density of states = 1.453 states/eV/f.u.

Most stable: Q. Least stable: P.

## P
Here is an optimized crystal structure of Y2Al3Hg from the Alexandria database. Energies are from PBE-GGA.

The structure in POSCAR format:
```
Y2Al3Hg
1.0
5.823 -0.581 0.000
-0.807 5.796 0.000
-2.508 -2.607 7.934
Y Al Hg
4 6 2
direct
0.250 0.750 0.500
0.750 0.750 0.000
0.750 0.250 0.500
0.250 0.250 0.000
0.330 0.835 0.165
0.165 0.670 0.835
0.670 0.165 0.835
0.835 0.330 0.165
0.164 0.164 0.328
0.836 0.836 0.672
0.667 0.667 0.334
0.333 0.333 0.666
```

Calculated values
Space group = Fmmm, No. 69
Fermi-level density of states = 3.404 states/eV/f.u.

## Q
Here is an optimized crystal structure of Y2Al3Hg from the Alexandria database. Energies are from PBE-GGA.

The structure in POSCAR format:
```
Y2Al3Hg
1.0
3.587 0.000 0.000
0.000 4.587 0.000
0.000 0.000 7.982
Y Al Hg
2 3 1
direct
0.000 0.500 0.992
0.000 0.000 0.509
0.500 0.000 0.833
0.500 0.000 0.163
0.500 0.500 0.670
0.500 0.500 0.333
```

Calculated values
Space group = Pmm2, No. 25
Fermi-level density of states = 2.876 states/eV/f.u.

Most stable: Q. Least stable: P.

## P
Here is an optimized crystal structure of YAl2Hg2 from the Alexandria database. Energies are from PBE-GGA.

The structure in POSCAR format:
```
YAl2Hg2
1.0
-2.133 1.768 -7.508
-7.559 -2.027 1.670
-0.648 3.187 0.934
Y Hg Al
2 4 4
direct
0.000 0.000 0.000
0.500 0.500 0.000
0.172 0.672 0.500
0.672 0.828 0.500
0.828 0.328 0.500
0.328 0.172 0.500
0.375 0.875 0.000
0.875 0.625 0.000
0.625 0.125 0.000
0.125 0.375 0.000
```

Calculated values
Space group = P4/mbm, No. 127
Fermi-level density of states = 2.153 states/eV/f.u.

## Q
Here is an optimized crystal structure of YAl2Hg2 from the Alexandria database. Energies are from PBE-GGA.

The structure in POSCAR format:
```
YAl2Hg2
1.0
-3.488 -1.779 -1.624
1.866 -3.803 0.157
-2.991 -3.628 4.865
Y Hg Al
1 2 2
direct
0.000 0.000 0.000
0.386 0.386 0.228
0.614 0.614 0.772
0.750 0.250 0.500
0.250 0.750 0.500
```

Calculated values
Space group = I4/mmm, No. 139
Fermi-level density of states = 1.450 states/eV/f.u.

## R
Here is an optimized crystal structure of YAl2Hg2 from the Alexandria database. Energies are from PBE-GGA.

The structure in POSCAR format:
```
YAl2Hg2
1.0
-4.343 4.780 -4.785
-6.005 -0.108 5.342
1.338 2.778 1.561
Y Hg Al
2 4 4
direct
0.000 0.000 0.000
0.500 0.500 0.000
0.369 0.869 0.000
0.869 0.631 0.000
0.631 0.131 0.000
0.131 0.369 0.000
0.173 0.673 0.500
0.673 0.827 0.500
0.827 0.327 0.500
0.327 0.173 0.500
```

Calculated values
Space group = P4/mbm, No. 127
Fermi-level density of states = 2.885 states/eV/f.u.

Most stable: Q. Least stable: R.

## P
Here is an optimized crystal structure of Y2AlHg2 from the Alexandria database. Energies are from PBE-GGA.

The structure in POSCAR format:
```
Y2AlHg2
1.0
-0.518 -3.063 7.673
1.146 -7.641 -2.973
3.841 0.411 0.423
Y Hg Al
4 4 2
direct
0.338 0.838 0.000
0.838 0.662 0.000
0.662 0.162 0.000
0.162 0.338 0.000
0.139 0.639 0.500
0.639 0.861 0.500
0.861 0.361 0.500
0.361 0.139 0.500
0.000 0.000 0.000
0.500 0.500 0.000
```

Calculated values
Space group = P4/mbm, No. 127
Fermi-level density of states = 3.343 states/eV/f.u.

## Q
Here is an optimized crystal structure of Y2AlHg2 from the Alexandria database. Energies are from PBE-GGA.

The structure in POSCAR format:
```
Y2AlHg2
1.0
-6.364 3.178 -2.018
-2.416 -0.409 6.976
1.769 4.083 0.852
Y Hg Al
4 4 2
direct
0.168 0.668 0.500
0.668 0.832 0.500
0.832 0.332 0.500
0.332 0.168 0.500
0.361 0.861 0.000
0.861 0.639 0.000
0.639 0.139 0.000
0.139 0.361 0.000
0.000 0.000 0.000
0.500 0.500 0.000
```

Calculated values
Space group = P4/mbm, No. 127
Fermi-level density of states = 3.515 states/eV/f.u.

Most stable: Q. Least stable: P.

## P
Here is an optimized crystal structure of YAlHg3 from the Alexandria database. Energies are from PBE-GGA.

The structure in POSCAR format:
```
YAlHg3
1.0
-4.249 -2.422 1.362
2.689 -4.213 0.895
0.703 1.470 4.809
Y Hg Al
1 3 1
direct
0.500 0.500 0.500
0.000 0.500 0.000
0.000 0.000 0.500
0.500 0.000 0.000
0.000 0.000 0.000
```

Calculated values
Space group = Pm-3m, No. 221
Fermi-level density of states = 4.137 states/eV/f.u.

## Q
Here is an optimized crystal structure of YAlHg3 from the Alexandria database. Energies are from PBE-GGA.

The structure in POSCAR format:
```
YAlHg3
1.0
5.830 0.000 0.000
0.000 5.830 0.000
0.000 0.000 5.830
Y Hg Al
1 3 1
direct
0.000 0.000 0.000
0.000 0.500 0.000
0.000 0.000 0.500
0.500 0.000 0.000
0.500 0.500 0.500
```

Calculated values
Space group = Pm-3m, No. 221
Fermi-level density of states = 8.865 states/eV/f.u.

Most stable: P. Least stable: Q.

## P
Here is an optimized crystal structure of Y3AlHg from the Alexandria database. Energies are from PBE-GGA.

The structure in POSCAR format:
```
Y3AlHg
1.0
5.002 0.000 1.143
0.000 5.134 0.000
0.232 0.000 10.500
Y Al Hg
6 2 2
direct
0.761 0.250 0.126
0.390 0.250 0.868
0.575 0.250 0.499
0.258 0.750 0.132
0.887 0.750 0.874
0.073 0.750 0.501
0.667 0.750 0.315
0.982 0.250 0.685
0.482 0.750 0.685
0.167 0.250 0.315
```

Calculated values
Space group = Cmcm, No. 63
Fermi-level density of states = 5.535 states/eV/f.u.

## Q
Here is an optimized crystal structure of Y3AlHg from the Alexandria database. Energies are from PBE-GGA.

The structure in POSCAR format:
```
Y3AlHg
1.0
-0.625 5.406 0.763
-3.286 -0.986 4.293
4.360 0.032 3.345
Y Hg Al
3 1 1
direct
0.000 0.500 0.000
0.000 0.000 0.500
0.500 0.000 0.000
0.500 0.500 0.500
0.000 0.000 0.000
```

Calculated values
Space group = Pm-3m, No. 221
Fermi-level density of states = 2.760 states/eV/f.u.

Most stable: P. Least stable: Q.

## P
Here is an optimized crystal structure of AlZnHg from the Alexandria database. Energies are from PBE-GGA.

The structure in POSCAR format:
```
AlZnHg
1.0
-3.918 1.130 -1.288
2.177 -2.991 -2.147
-1.523 -2.721 2.246
Zn Hg Al
1 1 1
direct
0.667 0.333 0.692
0.333 0.667 0.338
0.000 0.000 0.970
```

Calculated values
Space group = P3m1, No. 156
Fermi-level density of states = 1.059 states/eV/f.u.

## Q
Here is an optimized crystal structure of AlZnHg from the Alexandria database. Energies are from PBE-GGA.

The structure in POSCAR format:
```
AlZnHg
1.0
5.054 -0.007 0.023
2.365 4.467 -0.023
-3.317 -2.883 2.496
Zn Hg Al
1 1 1
direct
0.663 0.663 0.000
0.333 0.333 0.000
0.004 0.004 0.000
```

Calculated values
Space group = Imm2, No. 44
Fermi-level density of states = 1.021 states/eV/f.u.

## R
Here is an optimized crystal structure of AlZnHg from the Alexandria database. Energies are from PBE-GGA.

The structure in POSCAR format:
```
AlZnHg
1.0
3.087 0.000 0.000
-1.543 2.673 0.000
0.000 0.000 7.111
Hg Zn Al
1 1 1
direct
0.333 0.667 0.825
0.000 0.000 0.495
0.333 0.667 0.206
```

Calculated values
Space group = P3m1, No. 156
Fermi-level density of states = 1.176 states/eV/f.u.

## S
Here is an optimized crystal structure of AlZnHg from the Alexandria database. Energies are from PBE-GGA.

The structure in POSCAR format:
```
AlZnHg
1.0
-0.921 1.580 2.664
0.204 -3.225 0.023
6.018 0.394 1.847
Zn Hg Al
1 1 1
direct
0.333 0.667 0.676
0.667 0.333 0.336
0.000 0.000 0.989
```

Calculated values
Space group = P3m1, No. 156
Fermi-level density of states = 1.526 states/eV/f.u.

Most stable: S. Least stable: P.

## P
Here is an optimized crystal structure of AlZn3Hg from the Alexandria database. Energies are from PBE-GGA.

The structure in POSCAR format:
```
AlZn3Hg
1.0
-4.591 1.458 1.380
-2.007 -3.331 -3.159
-0.002 -3.447 3.636
Zn Hg Al
3 1 1
direct
0.000 0.500 0.000
0.000 0.000 0.500
0.500 0.000 0.000
0.000 0.000 0.000
0.500 0.500 0.500
```

Calculated values
Space group = Pm-3m, No. 221
Fermi-level density of states = 1.503 states/eV/f.u.

## Q
Here is an optimized crystal structure of AlZn3Hg from the Alexandria database. Energies are from PBE-GGA.

The structure in POSCAR format:
```
AlZn3Hg
1.0
4.968 0.000 0.000
0.000 4.968 0.000
0.000 0.000 4.968
Zn Hg Al
3 1 1
direct
0.000 0.500 0.000
0.000 0.000 0.500
0.500 0.000 0.000
0.500 0.500 0.500
0.000 0.000 0.000
```

Calculated values
Space group = Pm-3m, No. 221
Fermi-level density of states = 2.366 states/eV/f.u.

Most stable: Q. Least stable: P.

## P
Here is an optimized crystal structure of Zr2Al2Hg from the Alexandria database. Energies are from PBE-GGA.

The structure in POSCAR format:
```
Zr2Al2Hg
1.0
6.886 0.000 0.000
0.000 6.886 0.000
0.000 0.000 4.174
Hg Zr Al
2 4 4
direct
0.000 0.000 0.000
0.500 0.500 0.000
0.169 0.669 0.500
0.669 0.831 0.500
0.831 0.331 0.500
0.331 0.169 0.500
0.371 0.871 0.000
0.871 0.629 0.000
0.629 0.129 0.000
0.129 0.371 0.000
```

Calculated values
Space group = P4/mbm, No. 127
Fermi-level density of states = 2.896 states/eV/f.u.

## Q
Here is an optimized crystal structure of Zr2Al2Hg from the Alexandria database. Energies are from PBE-GGA.

The structure in POSCAR format:
```
Zr2Al2Hg
1.0
-1.080 3.982 7.024
3.303 -6.248 4.050
2.940 1.351 -0.314
Hg Zr Al
2 4 4
direct
0.000 0.000 0.000
0.500 0.500 0.000
0.370 0.870 0.000
0.870 0.630 0.000
0.630 0.130 0.000
0.130 0.370 0.000
0.171 0.671 0.500
0.671 0.829 0.500
0.829 0.329 0.500
0.329 0.171 0.500
```

Calculated values
Space group = P4/mbm, No. 127
Fermi-level density of states = 3.385 states/eV/f.u.

Most stable: P. Least stable: Q.

## P
Here is an optimized crystal structure of Zr2AlHg2 from the Alexandria database. Energies are from PBE-GGA.

The structure in POSCAR format:
```
Zr2AlHg2
1.0
-0.819 -3.105 6.237
-3.418 -5.293 -3.084
3.785 -2.119 -0.558
Hg Zr Al
4 4 2
direct
0.358 0.858 0.000
0.858 0.642 0.000
0.642 0.142 0.000
0.142 0.358 0.000
0.166 0.666 0.500
0.666 0.834 0.500
0.834 0.334 0.500
0.334 0.166 0.500
0.000 0.000 0.000
0.500 0.500 0.000
```

Calculated values
Space group = P4/mbm, No. 127
Fermi-level density of states = 4.333 states/eV/f.u.

## Q
Here is an optimized crystal structure of Zr2AlHg2 from the Alexandria database. Energies are from PBE-GGA.

The structure in POSCAR format:
```
Zr2AlHg2
1.0
-1.109 7.332 -0.025
-6.924 -1.055 -2.437
-1.358 -0.192 3.941
Hg Zr Al
4 4 2
direct
0.152 0.652 0.500
0.652 0.848 0.500
0.848 0.348 0.500
0.348 0.152 0.500
0.349 0.849 0.000
0.849 0.651 0.000
0.651 0.151 0.000
0.151 0.349 0.000
0.000 0.000 0.000
0.500 0.500 0.000
```

Calculated values
Space group = P4/mbm, No. 127
Fermi-level density of states = 3.874 states/eV/f.u.

## R
Here is an optimized crystal structure of Zr2AlHg2 from the Alexandria database. Energies are from PBE-GGA.

The structure in POSCAR format:
```
Zr2AlHg2
1.0
-2.293 1.715 -1.045
-1.599 -2.559 -0.692
-5.396 -1.180 9.904
Zr Al Hg
2 1 2
direct
0.500 0.411 0.178
0.500 0.589 0.822
0.000 0.000 0.000
0.000 0.192 0.617
0.000 0.808 0.383
```

Calculated values
Space group = Cmmm, No. 65
Fermi-level density of states = 4.153 states/eV/f.u.

Most stable: R. Least stable: Q.

## P
Here is an optimized crystal structure of ZrAl3Hg from the Alexandria database. Energies are from PBE-GGA.

The structure in POSCAR format:
```
ZrAl3Hg
1.0
-0.680 1.837 -4.526
4.452 -1.646 -1.337
-2.009 -4.270 -1.431
Hg Zr Al
1 1 3
direct
0.000 0.000 0.000
0.500 0.500 0.500
0.000 0.500 0.000
0.000 0.000 0.500
0.500 0.000 0.000
```

Calculated values
Space group = Pm-3m, No. 221
Fermi-level density of states = 4.477 states/eV/f.u.

## Q
Here is an optimized crystal structure of ZrAl3Hg from the Alexandria database. Energies are from PBE-GGA.

The structure in POSCAR format:
```
ZrAl3Hg
1.0
5.338 0.000 0.000
0.000 5.338 0.000
0.000 0.000 5.338
Hg Zr Al
1 1 3
direct
0.500 0.500 0.500
0.000 0.000 0.000
0.000 0.500 0.000
0.000 0.000 0.500
0.500 0.000 0.000
```

Calculated values
Space group = Pm-3m, No. 221
Fermi-level density of states = 5.917 states/eV/f.u.

Most stable: P. Least stable: Q.